# 1
Fe2Co2Pt PBE relaxed; uncorrected energy = -7.151 eV per atom; energy of formation = 0.28 eV/atom; D(E_F) = 2.17 states/eV/atom; E above lowest polymorph = 0.329 eV per atom; calculated density = 12.11 g cm⁻³; space group = P4/mbm, No. 127
1.0
6.706 0.000 0.000
0.000 6.706 0.000
0.000 0.000 2.588
Co Fe Pt
4 4 2
Cartesian
1.157 4.511 1.294
4.511 5.549 1.294
5.549 2.196 1.294
2.196 1.157 1.294
2.553 5.906 0.000
5.906 4.153 0.000
4.153 0.800 0.000
0.800 2.553 0.000
0.000 0.000 0.000
3.353 3.353 0.000


# 2
LiTmMgBe PBE relaxed; uncorrected energy = -2.865 eV per atom; energy of formation = 0.06 eV/atom; D(E_F) = 0.45 states/eV/atom; calculated density = 4.74 g cm⁻³; space group = F-43m, No. 216
1.0
4.697 0.000 0.000
2.348 4.068 0.000
2.348 1.356 3.835
Be Mg Tm Li
1 1 1 1
Cartesian
4.697 2.712 1.917
2.348 1.356 0.959
7.045 4.068 2.876
0.000 0.000 0.000


# 3
Tl2PtPb PBE relaxed; uncorrected energy = -3.451 eV per atom; energy of formation = 0.17 eV/atom; D(E_F) = 0.41 states/eV/atom; E above lowest polymorph = 0.220 eV per atom; calculated density = 12.76 g cm⁻³; space group = C2/m, No. 12
1.0
6.398 -0.073 0.419
-3.596 5.292 0.419
1.319 2.457 3.536
Pb Pt Tl
1 1 2
Cartesian
3.858 1.192 1.977
-1.138 3.875 1.977
0.000 0.000 0.000
1.401 2.610 0.419


# 4
Sm3YTm3 PBE relaxed; uncorrected energy = -4.696 eV per atom; energy of formation = 0.17 eV/atom; D(E_F) = 1.56 states/eV/atom; E above lowest polymorph = 0.152 eV per atom; calculated density = 7.38 g cm⁻³; space group = R-3, No. 148
1.0
-1.177 3.311 5.070
-5.810 0.684 1.957
-1.022 -10.447 10.337
Sm Y Tm
6 2 6
Cartesian
-5.683 -2.864 6.786
-2.196 -2.201 7.192
-4.550 -0.876 9.530
-3.459 -5.577 7.834
-5.814 -4.252 10.172
-2.327 -3.589 10.578
-5.681 -7.784 15.021
-2.329 1.331 2.343
-2.860 1.225 7.295
-6.338 0.575 6.905
-4.006 -0.754 4.566
-4.003 -5.699 12.798
-1.671 -7.028 10.459
-5.150 -7.678 10.070


# 5
PrMg6Sc2 PBE relaxed; uncorrected energy = -3.035 eV per atom; energy of formation = -0.03 eV/atom; D(E_F) = 0.79 states/eV/atom; calculated density = 2.80 g cm⁻³; space group = P6/mmm, No. 191
1.0
-2.839 -1.502 -0.198
4.116 -7.394 -2.937
-1.266 1.233 8.782
Pr Mg Sc
1 6 2
Cartesian
-1.266 1.233 8.782
-0.449 -2.849 1.891
0.460 -4.814 3.755
-2.255 0.062 5.692
0.029 -4.394 6.746
-0.018 -3.269 -1.099
-1.851 -0.331 2.891
0.528 -1.643 4.875
-0.517 -6.020 0.771


# 6
Tb6PSe3S2 PBE relaxed; uncorrected energy = -6.203 eV per atom; E_form (uncorrected) = -1878.3 meV per atom; D(E_F) = 0.41 states/eV/atom; calculated density = 7.66 g cm⁻³; space group = C2/m, No. 12
1.0
-0.856 -6.260 2.859
0.174 0.667 -6.901
6.858 0.993 1.428
Tb P Se S
6 1 3 2
Cartesian
4.621 -4.622 -0.363
1.040 -3.950 -2.694
1.555 0.022 -2.251
4.960 -2.344 -3.571
5.136 -0.650 0.081
1.217 -2.255 0.957
0.000 0.000 0.000
3.431 0.005 -4.553
2.746 -4.605 1.940
3.088 -2.300 -1.307
-0.169 -1.642 -3.647
-0.512 -3.951 -0.395


# 7
Pa3CoSi3 PBE relaxed; uncorrected energy = -7.972 eV per atom; E_form (uncorrected) = -563.2 meV per atom; D(E_F) = 1.28 states/eV/atom; calculated density = 10.26 g cm⁻³; space group = C2/m, No. 12
1.0
-3.582 -1.477 -1.101
0.185 -5.544 -0.533
-4.630 -3.128 11.896
Pa Co Si
6 2 6
Cartesian
-4.639 -4.618 6.553
-3.388 -5.532 3.708
-1.925 -2.592 2.372
-6.102 -7.558 7.889
-5.632 -5.033 10.342
-2.395 -5.117 -0.081
-4.505 -2.801 3.680
-3.522 -7.349 6.582
-5.361 -7.275 5.099
-2.666 -2.875 5.163
-4.529 -7.732 10.375
-3.498 -2.417 -0.113
-4.391 -6.809 1.315
-3.636 -3.341 8.947


# 8
PrMg2Zn PBE relaxed; uncorrected energy = -2.114 eV per atom; energy of formation = 0.20 eV/atom; D(E_F) = 0.85 states/eV/atom; calculated density = 4.20 g cm⁻³; space group = R-3m, No. 166
1.0
-0.834 2.733 -1.499
-1.739 -0.116 -2.715
-10.269 1.298 4.603
Pr Zn Mg
1 1 2
Cartesian
0.000 0.000 0.000
-6.421 1.957 0.194
-7.471 1.171 2.817
-5.371 2.744 -2.428


# 9
HfTeAs2Se PBE relaxed; uncorrected energy = -4.221 eV per atom; E_form (uncorrected) = 954.4 meV per atom; D(E_F) = 0.67 states/eV/atom; E above lowest polymorph = 0.825 eV per atom; calculated density = 6.42 g cm⁻³; space group = P4/mmm, No. 123
1.0
-4.507 -0.197 2.538
-2.518 -0.411 -4.504
0.371 -5.139 0.262
As Te Hf Se
2 1 1 1
Cartesian
-1.259 -0.206 -2.252
-2.254 -0.098 1.269
0.000 0.000 0.000
-3.327 -2.874 -0.852
0.186 -2.570 0.131


# 10
Y2ReAsRh PBE relaxed; uncorrected energy = -7.100 eV per atom; energy of formation = 0.38 eV/atom; D(E_F) = 1.17 states/eV/atom; calculated density = 7.16 g cm⁻³; space group = P4/mmm, No. 123
1.0
5.302 0.000 0.000
0.000 4.470 0.000
0.000 0.000 5.302
Y Re As Rh
2 1 1 1
Cartesian
0.000 0.000 2.651
2.651 0.000 0.000
0.000 2.235 0.000
0.000 0.000 0.000
2.651 2.235 2.651


# 11
SmZn2SiRu2 PBE relaxed; uncorrected energy = -5.459 eV per atom; E_form (uncorrected) = -252.2 meV per atom; D(E_F) = 0.46 states/eV/atom; calculated density = 7.61 g cm⁻³; space group = P4/mmm, No. 123
1.0
-1.273 3.186 2.828
-4.213 -0.506 -1.326
-0.797 -3.883 4.015
Sm Zn Si Ru
1 2 1 2
Cartesian
-0.398 -1.942 2.008
-3.327 -1.508 3.695
-2.956 0.303 1.823
0.000 0.000 0.000
-0.636 1.593 1.414
-2.107 -0.253 -0.663


# 12
SrReW2 PBE relaxed; uncorrected energy = -9.261 eV per atom; energy of formation = 0.75 eV/atom; D(E_F) = 0.77 states/eV/atom; E above lowest polymorph = 0.000 eV per atom; calculated density = 14.32 g cm⁻³; space group = Cmm2, No. 35
1.0
-1.301 0.830 2.368
1.903 -1.994 0.625
6.868 6.968 1.331
Re Sr W
1 1 2
Cartesian
3.202 3.249 0.620
5.420 4.612 2.488
0.240 0.243 0.046
2.041 1.184 1.834


Repeat the second record exactly.
LiTmMgBe PBE relaxed; uncorrected energy = -2.865 eV per atom; energy of formation = 0.06 eV/atom; D(E_F) = 0.45 states/eV/atom; calculated density = 4.74 g cm⁻³; space group = F-43m, No. 216
1.0
4.697 0.000 0.000
2.348 4.068 0.000
2.348 1.356 3.835
Be Mg Tm Li
1 1 1 1
Cartesian
4.697 2.712 1.917
2.348 1.356 0.959
7.045 4.068 2.876
0.000 0.000 0.000


Q: Among the records above, which one has the highest calculated density?
A: SrReW2


Q: Which value of D(E_F) does entry 8 give?
A: 0.85 states/eV/atom


Please write out number 12 again, unchanged.
SrReW2 PBE relaxed; uncorrected energy = -9.261 eV per atom; energy of formation = 0.75 eV/atom; D(E_F) = 0.77 states/eV/atom; E above lowest polymorph = 0.000 eV per atom; calculated density = 14.32 g cm⁻³; space group = Cmm2, No. 35
1.0
-1.301 0.830 2.368
1.903 -1.994 0.625
6.868 6.968 1.331
Re Sr W
1 1 2
Cartesian
3.202 3.249 0.620
5.420 4.612 2.488
0.240 0.243 0.046
2.041 1.184 1.834